A relaxed AlRe2Cl crystal. Source: the Alexandria database, functional GGA-PBE.

a b c (Å): 3.0148 2.9823 7.5145
angles (deg): 90.00 90.10 90.00
Last column: nearest neighbours and their distance in Å.
Atoms (fractional coordinates):
Al (0.0000, 0.0000, 0.0000)  4 Re 2.67, 2 Cl 2.73, 2 Al 2.98
Re (0.0021, 0.0000, 0.4167)  2 Cl 2.58, 4 Re 2.60
Re (0.5012, 0.5000, 0.2162)  4 Re 2.60, 4 Al 2.67
Cl (0.0040, 0.5000, 0.6962)  2 Re 2.58, 2 Al 2.73

Summary:
* symmetry: No. 6
* magnetization: 0.00 μB per formula unit
* formation energy (no corrections): -0.068 eV/atom
* total energy: -7.690 eV per atom
* Fermi-level density of states: 0.344 states/eV per atom
* E above lowest polymorph: 0 meV/atom

A relaxed LiAcAsO4 crystal. Source: the Alexandria database, functional GGA-PBE.

a b c (Å): 6.6642 6.6642 6.6642
angles (deg): 120.55 105.58 102.89
Last column: nearest neighbours and their distance in Å.
Atoms (fractional coordinates):
Li (0.5000, 0.0000, 0.0000)  2 O 1.82
Li (0.5000, 0.5000, 0.5000)  2 O 1.82
Ac (0.0000, 0.0000, 0.0000)  6 O 2.52-2.53
Ac (0.5000, 0.0000, 0.5000)  6 O 2.52-2.53
As (0.1682, 0.4182, 0.7500)  2 O 1.77
As (0.8318, 0.5818, 0.2500)  2 O 1.77
O (0.1342, 0.7047, 0.4296)  1 As 1.77
O (0.2249, 0.2953, 0.9296)  1 As 1.77
O (0.2811, 0.2601, 0.4790)  1 Li 1.82, 1 As 2.02
O (0.2811, 0.8020, 0.0210)  1 Li 1.82, 1 As 2.02
O (0.7189, 0.1980, 0.9790)  1 Li 1.82, 1 As 2.02
O (0.7189, 0.7399, 0.5210)  1 Li 1.82, 1 As 2.02
O (0.7751, 0.7047, 0.0704)  1 As 1.77
O (0.8658, 0.2953, 0.5704)  1 As 1.77

Summary:
* symmetry: No. 74
* magnetization: 0.00 μB per formula unit
* formation energy (no corrections): -1.982 eV/atom
* total energy: -6.340 eV per atom
* Fermi-level density of states: 0.381 states/eV per atom

A relaxed RbPuTe4 crystal. Source: the Alexandria database, functional GGA-PBE.

a b c (Å): 6.8452 6.8452 9.3500
angles (deg): 90.00 90.00 90.00
Last column: nearest neighbours and their distance in Å.
Atoms (fractional coordinates):
Rb (0.2500, 0.2500, 0.0000)  8 Te 3.82
Rb (0.7500, 0.7500, 0.0000)  8 Te 3.82
Pu (0.2500, 0.2500, 0.5000)  8 Te 3.22
Pu (0.7500, 0.7500, 0.5000)  8 Te 3.22
Te (0.1027, 0.6027, 0.2983)  1 Te 2.85
Te (0.1027, 0.8973, 0.7017)  1 Te 2.85
Te (0.3973, 0.6027, 0.7017)  1 Te 2.85
Te (0.3973, 0.8973, 0.2983)  1 Te 2.85
Te (0.6027, 0.1027, 0.7017)  1 Te 2.85
Te (0.6027, 0.3973, 0.2983)  1 Te 2.85
Te (0.8973, 0.1027, 0.2983)  1 Te 2.85
Te (0.8973, 0.3973, 0.7017)  1 Te 2.85

Summary:
* symmetry: No. 125
* magnetization: 5.06 μB per formula unit
* formation energy (no corrections): -0.763 eV/atom
* total energy: -5.408 eV per atom
* Fermi-level density of states: 2.277 states/eV per atom

A relaxed Dy2ZnIr crystal. Source: the Alexandria database, functional GGA-PBE.

a b c (Å): 4.0304 4.0304 27.8111
angles (deg): 90.00 90.00 120.00
Last column: nearest neighbours and their distance in Å.
Atoms (fractional coordinates):
Dy (0.0000, 0.0000, 0.1147)  3 Ir 2.74
Dy (0.0000, 0.0000, 0.8853)  3 Ir 2.74
Dy (0.3333, 0.6667, 0.5520)  3 Ir 2.74
Dy (0.3333, 0.6667, 0.7813)  3 Ir 2.74
Dy (0.6667, 0.3333, 0.2187)  3 Ir 2.74
Dy (0.6667, 0.3333, 0.4480)  3 Ir 2.74
Zn (0.0000, 0.0000, 0.0000)  2 Dy 3.19
Zn (0.3333, 0.6667, 0.6667)  2 Dy 3.19
Zn (0.6667, 0.3333, 0.3333)  2 Dy 3.19
Ir (0.0000, 0.0000, 0.5000)  6 Dy 2.74
Ir (0.3333, 0.6667, 0.1667)  6 Dy 2.74
Ir (0.6667, 0.3333, 0.8333)  6 Dy 2.74

Summary:
* symmetry: No. 166
* magnetization: 0.00 μB per formula unit
* formation energy: -0.8 eV/f.u.
* total energy: -5.033 eV per atom
* Fermi-level density of states: 0.878 states/eV per atom
* E above lowest polymorph: 461 meV/atom

A relaxed CeDyCoAu crystal. Source: the Alexandria database, functional GGA-PBE.

a b c (Å): 7.0481 7.0481 7.0481
angles (deg): 90.00 90.00 90.00
Last column: nearest neighbours and their distance in Å.
Atoms (fractional coordinates):
Ce (0.0000, 0.0000, 0.0000)  4 Au 3.05, 4 Co 3.05
Ce (0.0000, 0.5000, 0.5000)  4 Au 3.05, 4 Co 3.05
Ce (0.5000, 0.0000, 0.5000)  4 Au 3.05, 4 Co 3.05
Ce (0.5000, 0.5000, 0.0000)  4 Au 3.05, 4 Co 3.05
Dy (0.0000, 0.0000, 0.5000)  4 Co 3.05, 4 Au 3.05
Dy (0.0000, 0.5000, 0.0000)  4 Co 3.05, 4 Au 3.05
Dy (0.5000, 0.0000, 0.0000)  4 Co 3.05, 4 Au 3.05
Dy (0.5000, 0.5000, 0.5000)  4 Co 3.05, 4 Au 3.05
Co (0.2500, 0.2500, 0.7500)  4 Dy 3.05, 4 Ce 3.05
Co (0.2500, 0.7500, 0.2500)  4 Dy 3.05, 4 Ce 3.05
Co (0.7500, 0.2500, 0.2500)  4 Dy 3.05, 4 Ce 3.05
Co (0.7500, 0.7500, 0.7500)  4 Dy 3.05, 4 Ce 3.05
Au (0.2500, 0.2500, 0.2500)  4 Dy 3.05, 4 Ce 3.05
Au (0.2500, 0.7500, 0.7500)  4 Dy 3.05, 4 Ce 3.05
Au (0.7500, 0.2500, 0.7500)  4 Dy 3.05, 4 Ce 3.05
Au (0.7500, 0.7500, 0.2500)  4 Dy 3.05, 4 Ce 3.05

Summary:
* symmetry: No. 216
* magnetization: 0.25 μB per formula unit
* formation energy: -1.4 eV/f.u.
* total energy: -5.568 eV per atom
* Fermi-level density of states: 1.669 states/eV per atom

A relaxed ZnAsRu crystal. Source: the Alexandria database, functional GGA-PBE.

a b c (Å): 6.4651 4.1128 7.1625
angles (deg): 90.00 90.00 90.00
Last column: nearest neighbours and their distance in Å.
Atoms (fractional coordinates):
Zn (0.0502, 0.2500, 0.1178)  4 Ru 2.66-2.91, 3 As 2.68-2.70, 2 Zn 2.74
Zn (0.4498, 0.7500, 0.6178)  4 Ru 2.66-2.91, 3 As 2.68-2.70, 2 Zn 2.74
Zn (0.5502, 0.2500, 0.3822)  4 Ru 2.66-2.91, 3 As 2.68-2.70, 2 Zn 2.74
Zn (0.9498, 0.7500, 0.8822)  4 Ru 2.66-2.91, 3 As 2.68-2.70, 2 Zn 2.74
As (0.1835, 0.7500, 0.3305)  4 Ru 2.43-2.52, 3 Zn 2.68-2.70
As (0.3165, 0.2500, 0.8305)  4 Ru 2.43-2.52, 3 Zn 2.68-2.70
As (0.6835, 0.7500, 0.1695)  4 Ru 2.43-2.52, 3 Zn 2.68-2.70
As (0.8165, 0.2500, 0.6695)  4 Ru 2.43-2.52, 3 Zn 2.68-2.70
Ru (0.1643, 0.2500, 0.5107)  4 As 2.43-2.52, 1 Zn 2.66
Ru (0.3357, 0.7500, 0.0107)  4 As 2.43-2.52, 1 Zn 2.66
Ru (0.6643, 0.2500, 0.9893)  4 As 2.43-2.52, 1 Zn 2.66
Ru (0.8357, 0.7500, 0.4893)  4 As 2.43-2.52, 1 Zn 2.66

Summary:
* symmetry: No. 62
* magnetization: 0.00 μB per formula unit
* formation energy: -0.4 eV/f.u.
* total energy: -5.212 eV per atom
* Fermi-level density of states: 0.401 states/eV per atom
* E above lowest polymorph: 0 meV/atom

A relaxed Th2BeH crystal. Source: the Alexandria database, functional GGA-PBE.

a b c (Å): 3.5446 3.5446 22.1419
angles (deg): 90.00 90.00 120.00
Last column: nearest neighbours and their distance in Å.
Atoms (fractional coordinates):
Th (0.0000, 0.0000, 0.2396)  3 H 2.61, 3 Be 2.91
Th (0.0000, 0.0000, 0.7604)  3 H 2.61, 3 Be 2.91
Th (0.3333, 0.6667, 0.4271)  3 H 2.61, 3 Be 2.91
Th (0.3333, 0.6667, 0.9062)  3 H 2.61, 3 Be 2.91
Th (0.6667, 0.3333, 0.0938)  3 H 2.61, 3 Be 2.91
Th (0.6667, 0.3333, 0.5729)  3 H 2.61, 3 Be 2.91
Be (0.0000, 0.0000, 0.0000)  6 Th 2.91
Be (0.3333, 0.6667, 0.6667)  6 Th 2.91
Be (0.6667, 0.3333, 0.3333)  6 Th 2.91
H (0.0000, 0.0000, 0.5000)  6 Th 2.61
H (0.3333, 0.6667, 0.1667)  6 Th 2.61
H (0.6667, 0.3333, 0.8333)  6 Th 2.61

Summary:
* symmetry: No. 166
* magnetization: 0.00 μB per formula unit
* total energy: -5.374 eV per atom
* Fermi-level density of states: 0.773 states/eV per atom

A relaxed BaSrAc2 crystal. Source: the Alexandria database, functional GGA-PBE.

a b c (Å): 4.0934 6.5613 15.3285
angles (deg): 90.00 97.60 90.00
Last column: nearest neighbours and their distance in Å.
Atoms (fractional coordinates):
Ba (0.1533, 0.2500, 0.3074)  4 Ac 4.03-4.14, 2 Ba 4.09, 5 Sr 4.15-4.23
Ba (0.8467, 0.7500, 0.6926)  4 Ac 4.03-4.14, 2 Ba 4.09, 5 Sr 4.15-4.23
Sr (0.2912, 0.2500, 0.5804)  6 Sr 4.09-4.58, 5 Ba 4.15-4.23, 2 Ac 4.53
Sr (0.7088, 0.7500, 0.4196)  6 Sr 4.09-4.58, 5 Ba 4.15-4.23, 2 Ac 4.53
Ac (0.0766, 0.7500, 0.1537)  8 Ac 3.98-4.09, 2 Ba 4.03
Ac (0.4660, 0.7500, 0.9288)  10 Ac 3.93-4.09, 2 Ba 4.13-4.14
Ac (0.5340, 0.2500, 0.0712)  10 Ac 3.93-4.09, 2 Ba 4.13-4.14
Ac (0.9234, 0.2500, 0.8463)  8 Ac 3.98-4.09, 2 Ba 4.03

Summary:
* symmetry: No. 11
* magnetization: 0.00 μB per formula unit
* formation energy: 0.2 eV/f.u.
* total energy: -2.897 eV per atom
* Fermi-level density of states: 1.716 states/eV per atom
* E above lowest polymorph: 0 meV/atom

A relaxed Tb7Pm2Y crystal. Source: the Alexandria database, functional GGA-PBE.

a b c (Å): 14.8245 14.8245 3.5250
angles (deg): 90.00 90.00 154.53
Last column: nearest neighbours and their distance in Å.
Atoms (fractional coordinates):
Tb (0.0000, 0.0000, 0.0000)  6 Tb 3.29-3.52
Tb (0.1556, 0.3521, 0.0000)  7 Tb 3.22-3.52, 1 Pm 3.56
Tb (0.3142, 0.6858, 0.5000)  6 Tb 3.48-3.52, 6 Pm 3.56-3.77
Tb (0.3521, 0.1556, 0.0000)  7 Tb 3.22-3.52, 1 Pm 3.56
Tb (0.6479, 0.8444, 0.0000)  7 Tb 3.22-3.52, 1 Pm 3.56
Tb (0.6858, 0.3142, 0.5000)  6 Tb 3.48-3.52, 6 Pm 3.56-3.77
Tb (0.8444, 0.6479, 0.0000)  7 Tb 3.22-3.52, 1 Pm 3.56
Pm (0.2073, 0.7927, 0.0000)  2 Pm 3.52, 8 Tb 3.56-3.77
Pm (0.7927, 0.2073, 0.0000)  2 Pm 3.52, 8 Tb 3.56-3.77
Y (0.5000, 0.5000, 0.5000)  2 Y 3.52, 12 Tb 3.71

Summary:
* symmetry: No. 65
* magnetization: 0.00 μB per formula unit
* formation energy: 1.5 eV/f.u.
* total energy: -4.683 eV per atom
* Fermi-level density of states: 1.602 states/eV per atom
* E above lowest polymorph: 139 meV/atom

A relaxed AcCd6Hg6 crystal. Source: the Alexandria database, functional GGA-PBE.

a b c (Å): 7.8093 7.8093 7.8093
angles (deg): 132.52 99.75 98.91
Last column: nearest neighbours and their distance in Å.
Atoms (fractional coordinates):
Ac (0.0000, 0.0000, 0.0000)  8 Hg 3.50-3.68, 8 Cd 3.90
Cd (0.0000, 0.0000, 0.5000)  4 Cd 2.99-3.14, 6 Hg 3.03-3.15
Cd (0.0000, 0.5000, 0.0000)  4 Cd 2.99-3.14, 6 Hg 3.03-3.15
Cd (0.2353, 0.5000, 0.7353)  4 Cd 2.99, 4 Hg 3.04-3.10
Cd (0.5000, 0.0000, 0.0000)  4 Cd 2.99-3.14, 6 Hg 3.03-3.15
Cd (0.5000, 0.5000, 0.5000)  4 Cd 2.99-3.14, 6 Hg 3.03-3.15
Cd (0.7647, 0.5000, 0.2647)  4 Cd 2.99, 4 Hg 3.04-3.10
Hg (0.1883, 0.6883, 0.5000)  6 Cd 3.03-3.04
Hg (0.3444, 0.3444, 0.0000)  6 Cd 3.10-3.12, 1 Hg 3.16
Hg (0.3512, 0.0000, 0.3512)  1 Hg 3.00, 6 Cd 3.15-3.35
Hg (0.6488, 0.0000, 0.6488)  1 Hg 3.00, 6 Cd 3.15-3.35
Hg (0.6556, 0.6556, 0.0000)  6 Cd 3.10-3.12, 1 Hg 3.16
Hg (0.8117, 0.3117, 0.5000)  6 Cd 3.03-3.04

Summary:
* symmetry: No. 71
* magnetization: 0.00 μB per formula unit
* formation energy: -1.6 eV/f.u.
* total energy: -1.004 eV per atom
* Fermi-level density of states: 0.425 states/eV per atom